Be2Fe2Tc | PBE-GGA | optimized geometry Values from VASP.

E   -7.05 eV per atom
Theoretical density   7.31 g/cm³
Space group   P4/mbm
M_tot   7.1 μB/cell

Quantum ESPRESSO input file:
```
&SYSTEM
  ibrav = 0, nat = 10, ntyp = 3
/
ATOMIC_SPECIES
Be 9.01 Be.upf
Fe 55.84 Fe.upf
Tc 98.00 Tc.upf
CELL_PARAMETERS angstrom
6.1952 0.0000 0.0000
0.0000 6.1952 0.0000
0.0000 0.0000 2.6971
ATOMIC_POSITIONS angstrom
Be 0.7618 2.3358 0.0000
Be 2.3358 5.4334 0.0000
Be 3.8594 0.7618 0.0000
Be 5.4334 3.8594 0.0000
Fe 1.0608 4.1584 1.3485
Fe 2.0368 1.0608 1.3485
Fe 4.1584 5.1344 1.3485
Fe 5.1344 2.0368 1.3485
Tc 0.0000 0.0000 0.0000
Tc 3.0976 3.0976 0.0000
```

K2ReBr | PBE-GGA | optimized geometry Values from VASP.

Formation energy without anion corrections   0.91 eV/atom
Theoretical density   3.28 g/cm³
Space group   I-42d
M_tot   3.4 μB/cell

Quantum ESPRESSO input file:
```
&SYSTEM
  ibrav = 0, nat = 8, ntyp = 3
/
ATOMIC_SPECIES
K 39.10 K.upf
Re 186.21 Re.upf
Br 79.90 Br.upf
CELL_PARAMETERS angstrom
-6.0792 6.0792 2.3578
6.0792 -6.0792 2.3578
6.0792 6.0792 -2.3578
ATOMIC_POSITIONS angstrom
K 0.8969 3.0396 0.5895
K -3.0396 5.1824 1.7684
K -0.8969 9.1189 0.5895
K 3.0396 6.9761 1.7684
Re 6.0792 0.0000 1.1789
Re 0.0000 0.0000 2.3578
Br 0.0000 0.0000 0.0000
Br 0.0000 6.0792 1.1789
```

Ac3ErO6 | PBE-GGA | optimized geometry Values from VASP.

Formation energy without anion corrections   -3.40 eV/atom
Theoretical density   8.21 g/cm³
Space group   R-3
M_tot   0.0 μB/cell

Quantum ESPRESSO input file:
```
&SYSTEM
  ibrav = 0, nat = 20, ntyp = 3
/
ATOMIC_SPECIES
Ac 227.00 Ac.upf
Er 167.26 Er.upf
O 16.00 O.upf
CELL_PARAMETERS angstrom
5.2332 3.0214 4.0253
-5.2332 3.0214 4.0253
0.0000 -6.0427 4.0253
ATOMIC_POSITIONS angstrom
Ac -2.6535 -2.6644 5.5501
Ac -3.6342 0.9657 6.5258
Ac 0.9807 -3.6302 6.5258
Ac -0.9807 3.6302 5.5501
Ac 3.6342 -0.9657 5.5501
Ac 2.6535 2.6644 6.5258
Er 0.0000 0.0000 0.0000
Er 0.0000 0.0000 6.0379
O -4.5606 -1.3742 6.6263
O -1.0902 -4.6367 5.4496
O -2.0047 -0.2859 4.9126
O -3.4704 3.2625 5.4495
O -0.7548 -1.8791 7.1633
O 1.2499 -1.5932 4.9126
O -1.2499 1.5932 7.1633
O 0.7548 1.8791 4.9126
O 3.4704 -3.2625 6.6263
O 2.0047 0.2859 7.1633
O 1.0902 4.6367 6.6263
O 4.5606 1.3742 5.4496
```

Which of these has the lowest theoretical density? K2ReBr

What is the theoretical density in the second record? 3.28 g/cm³

theoretical density of number 3 (Ac3ErO6)? 8.21 g/cm³